Record 1
Compound: In4FePb
Source: Alexandria via LeMat-Bulk
Functional: PBE
Structure: optimized geometry

Cell lengths 8.566, 8.566, 8.566 Å; angles 90.00, 90.00, 90.00 degrees
Space group F-43m (No. 216)
Asymmetric unit:
In 0.125 0.125 0.125 x16
Fe 0.000 0.000 0.500 x4
Pb 0.250 0.250 0.750 x4

Magnetization: 12.45 μB/cell
Uncorrected energy: -80.3 eV per cell
D(E_F): 0.8645 states/eV per atom
Calculated formation energy: 0.51 eV/atom

Record 2
Compound: Rb2NiCl7
Source: Alexandria via LeMat-Bulk
Functional: PBE
Structure: optimized geometry

Cell lengths 11.240, 10.119, 11.201 Å; angles 90.00, 97.11, 90.00 degrees
Space group C2/c (No. 15)
Asymmetric unit:
Rb 0.208 0.016 0.053 x8
Ni 0.000 0.270 0.250 x4
Cl 0.000 0.038 0.250 x4
Cl 0.009 0.321 0.659 x8
Cl 0.089 0.281 0.437 x8
Cl 0.177 0.311 0.187 x8

Magnetization: 4.27 μB/cell
Uncorrected energy: -121.8 eV per cell

Record 3
Compound: ThRh
Source: Alexandria via LeMat-Bulk
Functional: PBE
Structure: optimized geometry

Cell lengths 5.805, 5.805, 5.805 Å; angles 90.00, 90.00, 90.00 degrees
Space group Fm-3m (No. 225)
Asymmetric unit:
Th 0.000 0.000 0.000 x4
Rh 0.000 0.000 0.500 x4

Magnetization: 0.00 μB/cell
Uncorrected energy: -66.4 eV per cell
D(E_F): 0.6057 states/eV per atom
Calculated formation energy: -0.91 eV/atom

Record 4
Compound: Sc11Zn9Rh4
Source: Alexandria via LeMat-Bulk
Functional: PBE
Structure: optimized geometry

Cell lengths 13.166, 19.635, 3.389 Å; angles 90.00, 90.00, 90.00 degrees
Space group Cmmm (No. 65)
Asymmetric unit:
Sc 0.000 0.000 0.000 x2
Sc 0.000 0.168 0.000 x4
Sc 0.000 0.359 0.000 x4
Sc 0.227 0.500 0.000 x4
Sc 0.245 0.169 0.000 x8
Zn 0.000 0.500 0.500 x2
Zn 0.109 0.261 0.500 x8
Zn 0.131 0.078 0.500 x8
Rh 0.145 0.408 0.500 x8

Magnetization: 0.00 μB/cell
Uncorrected energy: -247.9 eV per cell
D(E_F): 0.6702 states/eV per atom
Calculated formation energy: -0.56 eV/atom

Record 5
Compound: CaTmLu2
Source: Alexandria via LeMat-Bulk
Functional: PBE
Structure: optimized geometry

Cell lengths 3.4866, 3.4866, 36.7973 Å; angles 90.00, 90.00, 120.00 degrees
Space group R-3m (No. 166, hexagonal axes)
Asymmetric unit:
Ca 0.0000 0.0000 0.0000 x3
Tm 0.0000 0.0000 0.5000 x3
Lu 0.0000 0.0000 0.0915 x6

Magnetization: 0.00 μB/cell
Uncorrected energy: -44.3 eV per cell
D(E_F): 1.2744 states/eV per atom
Calculated formation energy: 0.18 eV/atom

Record 6
Compound: AcZrCu
Source: Alexandria via LeMat-Bulk
Functional: PBE
Structure: optimized geometry

Cell lengths 3.559, 3.559, 12.141 Å; angles 90.00, 90.00, 90.00 degrees
Space group I4mm (No. 107)
Asymmetric unit:
Ac 0.000 0.000 0.000 x2
Zr 0.000 0.000 0.291 x2
Cu 0.000 0.000 0.691 x2

Magnetization: 0.00 μB/cell
Uncorrected energy: -32.9 eV per cell
D(E_F): 1.4024 states/eV per atom
Calculated formation energy: 0.10 eV/atom

Record 7
Compound: Pr4Al3Ag
Source: Alexandria via LeMat-Bulk
Functional: PBE
Structure: optimized geometry

Cell lengths 3.771, 4.662, 12.365 Å; angles 90.00, 90.00, 90.00 degrees
Space group Pmm2 (No. 25)
Asymmetric unit:
Pr 0.000 0.000 0.000 x1
Pr 0.000 0.500 0.305 x1
Pr 0.500 0.000 0.500 x1
Pr 0.500 0.500 0.808 x1
Al 0.000 0.000 0.718 x1
Al 0.000 0.500 0.591 x1
Al 0.500 0.500 0.090 x1
Ag 0.500 0.000 0.217 x1

Magnetization: 0.00 μB/cell
Uncorrected energy: -35.6 eV per cell
D(E_F): 0.9149 states/eV per atom
Calculated formation energy: -0.30 eV/atom

Record 8
Compound: Be2TcW
Source: Alexandria via LeMat-Bulk
Functional: PBE
Structure: optimized geometry

Cell lengths 6.213, 6.213, 5.115 Å; angles 90.00, 90.00, 90.00 degrees
Space group I-42d (No. 122)
Asymmetric unit:
Be 0.240 0.250 0.125 x8
Tc 0.000 0.000 0.000 x4
W 0.000 0.000 0.500 x4

Magnetization: 0.00 μB/cell
Uncorrected energy: -116.7 eV per cell
D(E_F): 0.7050 states/eV per atom
Calculated formation energy: 0.40 eV/atom

Record 9
Compound: CsHg16H12
Source: Alexandria via LeMat-Bulk
Functional: PBE
Structure: optimized geometry

Cell lengths 11.956, 17.962, 6.641 Å; angles 90.00, 115.97, 90.00 degrees
Space group Cm (No. 8)
Asymmetric unit:
Cs 0.000 0.000 0.000 x2
Hg 0.090 0.311 0.285 x4
Hg 0.175 0.500 0.587 x2
Hg 0.196 0.109 0.783 x4
Hg 0.197 0.500 0.105 x2
Hg 0.246 0.132 0.396 x4
Hg 0.285 0.281 0.900 x4
Hg 0.431 0.000 0.097 x2
Hg 0.431 0.000 0.671 x2
Hg 0.448 0.349 0.381 x4
Hg 0.487 0.215 0.737 x4
H 0.160 0.000 0.747 x2
H 0.185 0.407 0.596 x4
H 0.204 0.407 0.108 x4
H 0.206 0.127 0.078 x4
H 0.231 0.275 0.347 x4
H 0.432 0.000 0.380 x2
H 0.448 0.154 0.224 x4

Magnetization: 0.00 μB/cell
Uncorrected energy: -79.4 eV per cell
D(E_F): 0.0708 states/eV per atom

Record 10
Compound: Li2CdPd
Source: Alexandria via LeMat-Bulk
Functional: PBE
Structure: optimized geometry

Cell lengths 5.081, 2.940, 9.079 Å; angles 90.00, 100.57, 90.00 degrees
Space group Cm (No. 8)
Asymmetric unit:
Li 0.000 0.000 0.000 x2
Li 0.186 0.000 0.561 x2
Cd 0.426 0.000 0.281 x2
Pd 0.093 0.500 0.780 x2

Magnetization: 0.00 μB/cell
Uncorrected energy: -22.0 eV per cell
D(E_F): 0.3926 states/eV per atom
Calculated formation energy: -0.26 eV/atom

Record 11
Compound: FeAsIr
Source: Alexandria via LeMat-Bulk
Functional: PBE
Structure: optimized geometry

Cell lengths 4.2201, 4.2201, 2.8375 Å; angles 90.00, 90.00, 120.00 degrees
Space group P-6m2 (No. 187)
Asymmetric unit:
Fe 0.0000 0.0000 0.0000 x1
As 0.6667 0.3333 0.5000 x1
Ir 0.3333 0.6667 0.5000 x1

Magnetization: 2.97 μB/cell
Uncorrected energy: -21.8 eV per cell
D(E_F): 0.8959 states/eV per atom
Calculated formation energy: 0.06 eV/atom

> What is the magnetization in the first record?

12.45 μB/cell

Copy entry 10 word for word.
Compound: Li2CdPd
Source: Alexandria via LeMat-Bulk
Functional: PBE
Structure: optimized geometry

Cell lengths 5.081, 2.940, 9.079 Å; angles 90.00, 100.57, 90.00 degrees
Space group Cm (No. 8)
Asymmetric unit:
Li 0.000 0.000 0.000 x2
Li 0.186 0.000 0.561 x2
Cd 0.426 0.000 0.281 x2
Pd 0.093 0.500 0.780 x2

Magnetization: 0.00 μB/cell
Uncorrected energy: -22.0 eV per cell
D(E_F): 0.3926 states/eV per atom
Calculated formation energy: -0.26 eV/atom